An optimized crystal structure of BaI2NO, computed with GGA-PBEsol.

- Space group: P4/mmm
- Formation energy (no corrections): 0.832 eV/atom
- Raw total energy: -3.06 eV per atom

a = 5.4240 Å, b = 6.6577 Å, c = 6.6577 Å
α = 90.00°, β = 90.00°, γ = 90.00°
Positions (direct):
Ba1 0.0000 0.0000 0.0000
I1 0.0000 0.5000 0.0000
O1 0.5000 0.5000 0.5000
I2 0.0000 0.0000 0.5000
N1 0.5000 0.0000 0.0000



An optimized crystal structure of Li5SbS3I2, computed with GGA-PBEsol.

- Space group: Pnnm
- Formation energy (no corrections): -1.062 eV/atom
- Raw total energy: -3.89 eV per atom

a = 7.4551 Å, b = 10.2659 Å, c = 13.3707 Å
α = 90.00°, β = 90.00°, γ = 90.00°
Positions (direct):
Li1 0.5000 0.3152 0.9611
S1 0.7514 0.3284 0.4326
I1 0.5000 0.5558 0.8572
Li2 0.2324 0.9373 0.9024
Li3 0.7676 0.0627 0.0976
Li4 0.7324 0.4373 0.5976
S2 0.7514 0.6716 0.5674
Li5 0.7553 0.3038 0.2519
I2 0.0000 0.5715 0.2589
Li6 0.2553 0.1962 0.7519
Li7 0.2447 0.3038 0.2519
Li8 0.2553 0.8038 0.2481
Li9 0.7447 0.8038 0.2481
I3 0.0000 0.0558 0.6428
S3 0.5000 0.7015 0.3396
Li10 0.0000 0.1848 0.4611
S4 0.2486 0.6716 0.5674
Sb1 0.5000 0.8041 0.5068
S5 0.5000 0.2985 0.6604
Li11 0.2447 0.6962 0.7481
I4 0.5000 0.0715 0.2411
Li12 0.5000 0.6848 0.0389
Li13 0.2676 0.4373 0.5976
Li14 0.7447 0.1962 0.7519
Sb2 0.0000 0.6959 0.0068
I5 0.5000 0.4442 0.1428
Li15 0.7553 0.6962 0.7481
Li16 0.2676 0.5627 0.4024
S6 0.7486 0.1716 0.9326
I6 0.0000 0.4285 0.7411
Li17 0.2324 0.0627 0.0976
S7 0.2514 0.1716 0.9326
Li18 0.0000 0.8152 0.5389
S8 0.0000 0.7985 0.8396
Sb3 0.0000 0.3041 0.9932
S9 0.2486 0.3284 0.4326
S10 0.0000 0.2015 0.1604
I7 0.0000 0.9442 0.3572
S11 0.7486 0.8284 0.0674
Li19 0.7676 0.9373 0.9024
Sb4 0.5000 0.1959 0.4932
S12 0.2514 0.8284 0.0674
Li20 0.7324 0.5627 0.4024
I8 0.5000 0.9285 0.7589



An optimized crystal structure of Zr2CBrF, computed with GGA-PBEsol.

- Space group: P4/mmm
- Formation energy (no corrections): 1.051 eV/atom
- Raw total energy: -5.27 eV per atom

a = 3.9287 Å, b = 4.9056 Å, c = 4.9056 Å
α = 90.00°, β = 90.00°, γ = 90.00°
Positions (direct):
C1 0.5000 0.0000 0.0000
Zr1 0.0000 0.0000 0.5000
F1 0.5000 0.5000 0.5000
Zr2 0.0000 0.5000 0.0000
Br1 0.0000 0.0000 0.0000



An optimized crystal structure of CrAgCl2, computed with GGA-PBEsol.

- Space group: F-43m
- Formation energy (no corrections): 0.284 eV/atom
- Raw total energy: -4.11 eV per atom

a = 4.7089 Å, b = 4.7089 Å, c = 4.7089 Å
α = 60.00°, β = 60.00°, γ = 60.00°
Positions (direct):
Cl1 0.0000 0.0000 0.0000
Ag1 0.5000 0.5000 0.5000
Cl2 0.2500 0.2500 0.2500
Cr1 0.7500 0.7500 0.7500



An optimized crystal structure of K2CaBr, computed with GGA-PBEsol.

- Space group: Cmmm
- Formation energy (no corrections): -0.435 eV/atom
- Raw total energy: -2.00 eV per atom

a = 4.2240 Å, b = 6.8396 Å, c = 6.8396 Å
α = 118.53°, β = 90.00°, γ = 90.00°
Positions (direct):
Ca1 0.5000 0.5000 0.5000
K1 0.0000 0.0000 0.5000
Br1 0.5000 0.0000 0.0000
K2 0.0000 0.5000 0.0000



An optimized crystal structure of Sc2IrPt, computed with GGA-PBEsol.

- Energy of formation: -1.098 eV per atom
- Space group: Pmmm
- Raw total energy: -8.60 eV per atom

a = 3.1662 Å, b = 3.2952 Å, c = 6.4261 Å
α = 90.00°, β = 90.00°, γ = 90.00°
Positions (direct):
Sc1 0.0000 0.0000 0.7544
Ir1 0.5000 0.5000 0.0000
Pt1 0.5000 0.5000 0.5000
Sc2 0.0000 0.0000 0.2456



An optimized crystal structure of AlFe2Co, computed with GGA-PBEsol.

- Energy of formation: -0.182 eV per atom
- Space group: P4/mmm
- Raw total energy: -7.62 eV per atom

a = 3.4918 Å, b = 3.4918 Å, c = 3.7397 Å
α = 90.00°, β = 90.00°, γ = 90.00°
Positions (direct):
Fe1 0.5000 0.0000 0.0000
Fe2 0.0000 0.5000 0.0000
Co1 0.0000 0.0000 0.5000
Al1 0.5000 0.5000 0.5000



An optimized crystal structure of MgFe2Ru, computed with GGA-PBEsol.

- Energy of formation: 0.299 eV per atom
- Space group: Pmmm
- Raw total energy: -7.16 eV per atom

a = 3.2490 Å, b = 4.0263 Å, c = 3.9938 Å
α = 90.00°, β = 90.00°, γ = 90.00°
Positions (direct):
Fe1 0.5000 0.0000 0.5000
Mg1 0.5000 0.5000 0.0000
Ru1 0.0000 0.5000 0.5000
Fe2 0.0000 0.0000 0.0000



An optimized crystal structure of SrIBr2, computed with GGA-PBEsol.

- Space group: R-3m
- Formation energy (no corrections): -1.273 eV/atom
- Raw total energy: -3.11 eV per atom

a = 4.2955 Å, b = 4.2955 Å, c = 11.9274 Å
α = 79.63°, β = 79.63°, γ = 60.00°
Positions (direct):
Br1 0.8814 0.8814 0.3558
I1 0.0000 0.0000 0.0000
Sr1 0.5000 0.5000 0.5000
Br2 0.1186 0.1186 0.6442



An optimized crystal structure of TlBiSb2, computed with GGA-PBEsol.

- Space group: I-42d
- Formation energy (no corrections): 0.290 eV/atom
- Raw total energy: -3.72 eV per atom

a = 6.8190 Å, b = 6.8190 Å, c = 8.4623 Å
α = 113.76°, β = 113.76°, γ = 90.00°
Positions (direct):
Bi1 0.2500 0.7500 0.5000
Sb1 0.8583 0.3750 0.2500
Sb2 0.6250 0.6083 0.7500
Bi2 0.0000 0.0000 0.0000
Tl1 0.5000 0.5000 0.0000
Tl2 0.7500 0.2500 0.5000
Sb3 0.1250 0.1417 0.7500
Sb4 0.3917 0.8750 0.2500



An optimized crystal structure of Cd2HgPb, computed with GGA-PBEsol.

- Energy of formation: 0.097 eV per atom
- Space group: F-43m
- Raw total energy: -1.64 eV per atom

a = 5.1430 Å, b = 5.1430 Å, c = 5.1430 Å
α = 60.00°, β = 60.00°, γ = 60.00°
Positions (direct):
Cd1 0.7500 0.7500 0.7500
Cd2 0.0000 0.0000 0.0000
Pb1 0.2500 0.2500 0.2500
Hg1 0.5000 0.5000 0.5000



An optimized crystal structure of Zn2PCl, computed with GGA-PBEsol.

- Space group: Cm
- Formation energy (no corrections): -0.221 eV/atom
- Raw total energy: -2.96 eV per atom

a = 3.3724 Å, b = 3.6657 Å, c = 6.6801 Å
α = 101.66°, β = 104.62°, γ = 90.00°
Positions (direct):
P1 0.2823 0.8868 0.5646
Zn1 0.7478 0.3670 0.4956
Zn2 0.9166 0.0268 0.8332
Cl1 0.5533 0.2194 0.1066



An optimized crystal structure of Y2BeCr, computed with GGA-PBEsol.

- Energy of formation: 0.487 eV per atom
- Space group: I-4m2
- Raw total energy: -6.48 eV per atom

a = 4.2384 Å, b = 4.2384 Å, c = 5.3640 Å
α = 113.27°, β = 113.27°, γ = 90.00°
Positions (direct):
Y1 0.0000 0.0000 0.0000
Cr1 0.2500 0.7500 0.5000
Y2 0.7500 0.2500 0.5000
Be1 0.5000 0.5000 0.0000



An optimized crystal structure of LiCuPO4, computed with GGA-PBEsol.

- Space group: Pbcn
- Formation energy (no corrections): -1.749 eV/atom
- Raw total energy: -6.48 eV per atom

a = 4.1862 Å, b = 4.5304 Å, c = 14.8624 Å
α = 90.00°, β = 90.00°, γ = 90.00°
Positions (direct):
O1 0.8037 0.0323 0.6724
O2 0.6963 0.0323 0.1724
Cu1 0.0000 0.7500 0.0735
Li1 0.5000 0.2500 0.7491
O3 0.2350 0.5740 0.4464
O4 0.7650 0.4260 0.5536
O5 0.7350 0.9260 0.9464
P1 0.0000 0.7500 0.3869
O6 0.7650 0.9260 0.4464
Cu2 0.0000 0.2500 0.9265
P2 0.0000 0.2500 0.6131
O7 0.2650 0.0740 0.0536
O8 0.1963 0.4677 0.6724
Cu3 0.5000 0.2500 0.4265
O9 0.3037 0.4677 0.1724
O10 0.3037 0.9677 0.8276
O11 0.1963 0.9677 0.3276
Li2 0.5000 0.7500 0.2509
O12 0.8037 0.5323 0.3276
P3 0.5000 0.2500 0.1131
P4 0.5000 0.7500 0.8869
O13 0.7350 0.4260 0.0536
O14 0.2350 0.0740 0.5536
Cu4 0.5000 0.7500 0.5735
Li3 0.0000 0.7500 0.7509
O15 0.2650 0.5740 0.9464
O16 0.6963 0.5323 0.8276
Li4 0.0000 0.2500 0.2491



An optimized crystal structure of ZnTcSb, computed with GGA-PBEsol.

- Space group: I4mm
- Formation energy (no corrections): -0.024 eV/atom
- Raw total energy: -5.83 eV per atom

a = 3.3517 Å, b = 3.3517 Å, c = 4.8787 Å
α = 110.09°, β = 110.09°, γ = 90.00°
Positions (direct):
Zn1 0.3273 0.3273 0.6546
Tc1 0.6672 0.6672 0.3345
Sb1 0.0055 0.0055 0.0110



An optimized crystal structure of KSrYNb2, computed with GGA-PBEsol.

- Energy of formation: 1.510 eV per atom
- Space group: P4/mmm
- Raw total energy: -4.78 eV per atom

a = 5.1216 Å, b = 5.1216 Å, c = 5.9802 Å
α = 90.00°, β = 90.00°, γ = 90.00°
Positions (direct):
Nb1 0.0000 0.5000 0.0000
Sr1 0.5000 0.5000 0.5000
K1 0.0000 0.0000 0.5000
Y1 0.0000 0.0000 0.0000
Nb2 0.5000 0.0000 0.0000



An optimized crystal structure of CoRh2, computed with GGA-PBEsol.

- Energy of formation: 0.044 eV per atom
- Space group: P4/nmm
- Raw total energy: -7.96 eV per atom

a = 2.6379 Å, b = 2.6379 Å, c = 10.7734 Å
α = 90.00°, β = 90.00°, γ = 90.00°
Positions (direct):
Rh1 0.0000 0.5000 0.7652
Co1 0.5000 0.0000 0.9285
Co2 0.0000 0.5000 0.0715
Rh2 0.5000 0.0000 0.2348
Rh3 0.0000 0.5000 0.4120
Rh4 0.5000 0.0000 0.5880



An optimized crystal structure of BeInHg, computed with GGA-PBEsol.

- Energy of formation: 0.351 eV per atom
- Space group: I4mm
- Raw total energy: -2.17 eV per atom

a = 3.0499 Å, b = 3.0499 Å, c = 6.3173 Å
α = 103.97°, β = 103.97°, γ = 90.00°
Positions (direct):
In1 0.3523 0.3523 0.7047
Hg1 0.6363 0.6363 0.2727
Be1 0.0113 0.0113 0.0227



An optimized crystal structure of ScAl3Ge, computed with GGA-PBEsol.

- Energy of formation: 0.503 eV per atom
- Space group: Pm-3m
- Raw total energy: -4.26 eV per atom

a = 4.7909 Å, b = 4.7909 Å, c = 4.7909 Å
α = 90.00°, β = 90.00°, γ = 90.00°
Positions (direct):
Al1 0.0000 0.5000 0.0000
Sc1 0.5000 0.5000 0.5000
Al2 0.0000 0.0000 0.5000
Al3 0.5000 0.0000 0.0000
Ge1 0.0000 0.0000 0.0000



An optimized crystal structure of SnBiSb2, computed with GGA-PBEsol.

- Space group: Fm-3m
- Formation energy (no corrections): 0.103 eV/atom
- Raw total energy: -4.31 eV per atom

a = 5.3641 Å, b = 5.3641 Å, c = 5.3641 Å
α = 60.00°, β = 60.00°, γ = 60.00°
Positions (direct):
Sb1 0.2500 0.2500 0.2500
Sn1 0.0000 0.0000 0.0000
Sb2 0.7500 0.7500 0.7500
Bi1 0.5000 0.5000 0.5000